(1)
Entry from the Alexandria database: crystalline Ac5CoIr at its relaxed geometry (PBE-GGA).

It has space group C2/c (No. 15), with a = 11.029 Å, b = 9.223 Å, c = 11.031 Å, α = 90.00°, β = 109.65° and γ = 90.00°. The asymmetric unit holds Ac at (0.000, 0.243, 0.250), Ac at (0.106, 0.178, 0.649), Ac at (0.184, 0.457, 0.008), Co at (0.250, 0.250, 0.500) and Ir at (0.000, 0.438, 0.750).

As for the crystal system: monoclinic. The calculation puts the calculated volume at 37.74 Å³/atom. The raw total energy is -149.7 eV/cell. The calculation puts the formation energy at -0.130 eV per atom.

***

(2)
Entry from the Alexandria database: crystalline Ac8Co2Ir3 at its relaxed geometry (PBE-GGA).

It has space group C2/m (No. 12), with a = 14.901 Å, b = 8.646 Å, c = 7.422 Å, α = 90.00°, β = 110.51° and γ = 90.00°. The asymmetric unit holds Ac at (0.118, 0.000, 0.242), Ac at (0.127, 0.238, 0.768), Ac at (0.127, 0.500, 0.216), Co at (0.245, 0.500, 0.976), Ir at (0.000, 0.000, 0.500) and Ir at (0.000, 0.254, 0.000).

As for the crystal system: monoclinic. The calculation puts the calculated volume at 34.45 Å³/atom. The raw total energy is -156.5 eV/cell. The calculation puts the formation energy at -0.355 eV per atom.

***

(3)
Entry from the Alexandria database: crystalline AcCoIr at its relaxed geometry (PBE-GGA).

It has space group P-6m2 (No. 187), with a = 4.1809 Å, b = 4.1809 Å, c = 4.4425 Å, α = 90.00°, β = 90.00° and γ = 120.00°. The asymmetric unit holds Ac at (0.0000, 0.0000, 0.0000), Co at (0.3333, 0.6667, 0.5000) and Ir at (0.6667, 0.3333, 0.5000).

The calculation puts the offset from the most stable computed form at 0.0044 eV/atom. As for the crystal system: hexagonal. The calculation puts the calculated volume at 22.42 Å³/atom. The raw total energy is -21.1 eV/cell. The calculation puts the formation energy at -0.335 eV per atom.

***

(4)
Entry from the Alexandria database: crystalline Ac4CoIr at its relaxed geometry (PBE-GGA).

It has space group P2/m (No. 10), with a = 7.142 Å, b = 4.344 Å, c = 7.524 Å, α = 90.00°, β = 110.31° and γ = 90.00°. The asymmetric unit holds Ac at (0.229, 0.000, 0.236), Ac at (0.231, 0.500, 0.750), Co at (0.000, 0.500, 0.000) and Ir at (0.000, 0.000, 0.500).

As for the crystal system: monoclinic. The calculation puts the calculated volume at 36.49 Å³/atom. The raw total energy is -34.3 eV/cell. The calculation puts the formation energy at -0.309 eV per atom.

***

| no. | mass density (Mg/m³) |
| --- | --- |
| 1 | 8.7 |
| 2 | 9.3 |
| 3 | 11.8 |
| 4 | 8.8 |